No. 1
VASP calculation (PBE-GGA) on SnPt3Rh2 after structural relaxation.

Calculated values
SG   No. 70
Mass density   15.9 Mg/m³
DOS at the Fermi energy   1.683 states/eV per atom
Calculated total energy   -6.339 eV per atom

```
12
Lattice="4.756 -0.336 -0.948 -1.475 4.533 -0.948 0.122 0.156 8.960" Properties=species:S:1:pos:R:3 pbc="T T T"
Sn -0.666 3.964 1.292
Sn 4.068 0.390 5.772
Pt 0.374 2.085 3.141
Pt 1.408 3.409 -0.558
Pt 3.028 2.268 3.922
Pt 1.994 0.945 7.622
Pt 2.451 1.528 1.292
Pt 0.952 2.825 5.772
Rh -0.212 1.331 0.469
Rh 1.998 4.160 2.114
Rh 3.614 3.023 6.594
Rh 1.404 0.194 4.949
```

***

No. 2
VASP calculation (PBE-GGA) on NdYAlAg after structural relaxation.

Calculated values
SG   No. 216
Mass density   6.0 Mg/m³
DOS at the Fermi energy   1.049 states/eV per atom
Energy above the lowest structure with this stoichiometry   26.7 meV/atom

```
4
Lattice="5.249 0.000 0.000 2.625 4.546 0.000 2.625 1.515 4.286" Properties=species:S:1:pos:R:3 pbc="T T T"
Y 7.874 4.546 3.214
Nd 2.625 1.515 1.071
Al 5.249 3.031 2.143
Ag 0.000 0.000 0.000
```

***

No. 3
VASP calculation (PBE-GGA) on ZnSe2O6 after structural relaxation.

Calculated values
SG   No. 15
Mass density   3.9 Mg/m³
Formation energy from raw total energies   -65.53 kJ/mol of atoms
DOS at the Fermi energy   0.265 states/eV per atom
Energy above the lowest structure with this stoichiometry   0.0 meV/atom

```
18
Lattice="6.827 -0.158 -0.153 1.841 6.301 0.126 1.841 0.330 6.294" Properties=species:S:1:pos:R:3 pbc="T T T"
Zn 3.548 0.809 5.719
Zn 6.961 5.664 0.547
Se 4.168 4.186 4.957
Se 2.927 1.462 2.320
Se 6.341 2.287 1.310
Se 7.581 5.011 3.946
O 6.156 4.054 4.201
O 7.767 2.064 2.274
O 4.353 2.419 2.065
O 2.742 4.409 3.992
O 7.443 5.874 2.508
O 6.480 3.697 0.400
O 3.066 0.599 3.758
O 4.029 2.776 5.866
O 4.194 5.428 6.135
O 2.902 0.245 1.116
O 6.315 1.045 0.132
O 7.607 6.228 5.150
```

***

No. 4
VASP calculation (PBE-GGA) on AgH after structural relaxation.

Calculated values
SG   No. 136
Mass density   7.6 Mg/m³
DOS at the Fermi energy   0.037 states/eV per atom
Energy above the lowest structure with this stoichiometry   3.8 meV/atom

```
8
Lattice="-0.938 -4.728 2.620 4.231 1.013 3.343 -1.941 1.495 2.003" Properties=species:S:1:pos:R:3 pbc="T T T"
Ag 2.665 -3.007 4.827
Ag 1.661 -0.015 4.121
Ag -0.309 -2.205 3.846
Ag 0.628 -0.708 1.137
H -0.029 -3.718 2.747
H 0.097 -0.456 2.934
H 1.255 -1.764 5.032
H 3.322 0.003 3.216
```

***

No. 5
VASP calculation (PBE-GGA) on TaTi2S after structural relaxation.

Calculated values
SG   No. 166
Mass density   7.7 Mg/m³
Formation energy from raw total energies   -56.80 kJ/mol of atoms
DOS at the Fermi energy   0.940 states/eV per atom

```
4
Lattice="3.172 0.000 0.000 1.586 2.747 0.000 1.586 0.916 7.677" Properties=species:S:1:pos:R:3 pbc="T T T"
S 0.000 0.000 0.000
Ti 4.757 2.747 6.061
Ti 1.586 0.916 1.616
Ta 3.172 1.831 3.839
```

***

No. 6
VASP calculation (PBE-GGA) on AlTcP after structural relaxation.

Calculated values
SG   No. 187
Mass density   5.8 Mg/m³
DOS at the Fermi energy   0.352 states/eV per atom
Energy above the lowest structure with this stoichiometry   278.3 meV/atom

```
3
Lattice="-1.481 -1.994 -3.137 3.548 -1.034 1.534 -1.455 -2.045 1.986" Properties=species:S:1:pos:R:3 pbc="T T T"
P -0.532 -2.696 -0.587
Tc 1.144 -2.376 0.970
Al 0.000 0.000 0.000
```

***

No. 7
VASP calculation (PBE-GGA) on MnHgI3 after structural relaxation.

Calculated values
SG   No. 167
Mass density   5.0 Mg/m³
Formation energy from raw total energies   -18.11 kJ/mol of atoms
DOS at the Fermi energy   0.363 states/eV per atom
Energy above the lowest structure with this stoichiometry   158.4 meV/atom

```
10
Lattice="1.059 0.154 9.039 -0.930 -6.814 5.962 6.388 -4.056 5.058" Properties=species:S:1:pos:R:3 pbc="T T T"
I 2.027 -4.840 13.031
I 6.246 -5.336 11.396
I 3.131 -8.576 10.677
I 3.386 -2.139 9.383
I 0.271 -5.380 8.663
I 4.490 -5.875 7.028
Mn 1.629 -2.679 5.015
Mn 4.888 -8.037 15.044
Hg 0.000 0.000 0.000
Hg 3.258 -5.358 10.030
```

***

No. 8
VASP calculation (PBE-GGA) on Bi2Pb2Cl after structural relaxation.

Calculated values
SG   No. 127
Mass density   8.7 Mg/m³
Formation energy from raw total energies   -7.81 kJ/mol of atoms
DOS at the Fermi energy   0.448 states/eV per atom
Energy above the lowest structure with this stoichiometry   33.8 meV/atom

```
10
Lattice="8.865 0.000 0.000 0.000 8.865 0.000 0.000 0.000 4.217" Properties=species:S:1:pos:R:3 pbc="T T T"
Pb 1.341 5.774 2.109
Pb 5.774 7.524 2.109
Pb 7.524 3.091 2.109
Pb 3.091 1.341 2.109
Bi 3.273 7.705 0.000
Bi 7.705 5.592 0.000
Bi 5.592 1.160 0.000
Bi 1.160 3.273 0.000
Cl 0.000 0.000 0.000
Cl 4.433 4.433 0.000
```